FeBrF2, optimized geometry, DFT GGA+U; E above lowest polymorph = 0.124 eV/atom; total moment = 10.000 Bohr magnetons per cell; space group = I-42d (122)
1.0
-5.0835 -2.8028 2.5115
-1.3439 -2.5907 -5.6114
-0.7825 -6.1849 -0.5218
F Br Fe
4 2 2
Cartesian
-2.9373 -4.2140 -2.6980
-3.3319 -7.3066 -2.9516
-5.8760 -8.7127 -1.7059
-2.2744 -2.9236 0.1122
0.0000 0.0000 0.0000
-4.5398 -5.8423 0.2199
-3.2137 -2.6968 -1.5499
-2.6700 -5.7362 -3.8415